(1)
## RbGaH2 (meta-GGA SCAN)

Data for RbGaH2 at its PBEsol-relaxed geometry.

The total energy comes out at -11.30 eV per atom. For the magnetization, the calculation gives 0.0 μB per formula unit.

It has space group Pnma (No. 62), with a = 7.3616 Å, b = 4.4477 Å, c = 9.1794 Å, α = 90.00°, β = 90.00° and γ = 90.00°. Symmetry generates all atoms from Rb at (0.1235, 0.2500, 0.1724), Ga at (0.0630, 0.2500, 0.5354), H at (0.1038, 0.2500, 0.7121) and H at (0.2214, 0.7500, 0.9800).



(2)
## RbSrGaH2 (meta-GGA SCAN)

Data for RbSrGaH2 at its PBEsol-relaxed geometry.

The total energy comes out at -12.75 eV per atom. For the magnetization, the calculation gives 0.0 μB per formula unit.

It has space group P4/mmm (No. 123), with a = 4.9028 Å, b = 4.9028 Å, c = 5.7750 Å, α = 90.00°, β = 90.00° and γ = 90.00°. Symmetry generates all atoms from Rb at (0.0000, 0.0000, 0.0000), Sr at (0.5000, 0.5000, 0.5000), Ga at (0.0000, 0.0000, 0.5000) and H at (0.0000, 0.5000, 0.0000).



(3)
## Rb2GaHW (meta-GGA SCAN)

Data for Rb2GaHW at its PBEsol-relaxed geometry.

The total energy comes out at -24.63 eV per atom. For the magnetization, the calculation gives 3.2 μB per formula unit.

It has space group P4/mmm (No. 123), with a = 6.8303 Å, b = 6.8303 Å, c = 3.2311 Å, α = 90.00°, β = 90.00° and γ = 90.00°. Symmetry generates all atoms from Rb at (0.0000, 0.5000, 0.0000), Ga at (0.0000, 0.0000, 0.0000), H at (0.0000, 0.0000, 0.5000) and W at (0.5000, 0.5000, 0.5000).



(4)
## Ga3ReH (meta-GGA SCAN)

Data for Ga3ReH at its PBEsol-relaxed geometry.

The total energy comes out at -24.05 eV per atom. For the magnetization, the calculation gives 1.1 μB per formula unit.

It has space group Pm-3m (No. 221), with a = 4.7973 Å, b = 4.7973 Å, c = 4.7973 Å, α = 90.00°, β = 90.00° and γ = 90.00°. Symmetry generates all atoms from Ga at (0.0000, 0.0000, 0.5000), Re at (0.0000, 0.0000, 0.0000) and H at (0.5000, 0.5000, 0.5000).



(5)
## Ti2GaReH (meta-GGA SCAN)

Data for Ti2GaReH at its PBEsol-relaxed geometry.

The total energy comes out at -23.91 eV per atom. For the magnetization, the calculation gives 0.0 μB per formula unit.

It has space group P4/mmm (No. 123), with a = 4.7956 Å, b = 4.7956 Å, c = 3.0930 Å, α = 90.00°, β = 90.00° and γ = 90.00°. Symmetry generates all atoms from Ti at (0.0000, 0.5000, 0.0000), Ga at (0.0000, 0.0000, 0.0000), Re at (0.5000, 0.5000, 0.5000) and H at (0.0000, 0.0000, 0.5000).



(6)
## GaH2Ru2 (meta-GGA SCAN)

Data for GaH2Ru2 at its PBEsol-relaxed geometry.

The total energy comes out at -18.60 eV per atom. For the magnetization, the calculation gives 0.0 μB per formula unit.

It has space group I4/mmm (No. 139), with a = 3.0053 Å, b = 3.0053 Å, c = 10.2354 Å, α = 90.00°, β = 90.00° and γ = 90.00°. Symmetry generates all atoms from Ga at (0.0000, 0.0000, 0.0000), H at (0.0000, 0.5000, 0.2500) and Ru at (0.0000, 0.0000, 0.3564).



(7)
## GaSiH2Ru (meta-GGA SCAN)

Data for GaSiH2Ru at its PBEsol-relaxed geometry.

The total energy comes out at -12.96 eV per atom. For the magnetization, the calculation gives 0.5 μB per formula unit.

It has space group P4/mmm (No. 123), with a = 3.3769 Å, b = 3.3769 Å, c = 5.3850 Å, α = 90.00°, β = 90.00° and γ = 90.00°. Symmetry generates all atoms from Ga at (0.0000, 0.0000, 0.0000), Si at (0.0000, 0.0000, 0.5000), H at (0.0000, 0.5000, 0.5000) and Ru at (0.5000, 0.5000, 0.0000).



(8)
## TaGaHRu2 (meta-GGA SCAN)

Data for TaGaHRu2 at its PBEsol-relaxed geometry.

The total energy comes out at -31.28 eV per atom. For the magnetization, the calculation gives 0.0 μB per formula unit.

It has space group P4/mmm (No. 123), with a = 4.0725 Å, b = 4.0725 Å, c = 3.6205 Å, α = 90.00°, β = 90.00° and γ = 90.00°. Symmetry generates all atoms from Ta at (0.0000, 0.0000, 0.0000), Ga at (0.5000, 0.5000, 0.0000), H at (0.5000, 0.5000, 0.5000) and Ru at (0.0000, 0.5000, 0.5000).



(9)
## GaSb2H (meta-GGA SCAN)

Data for GaSb2H at its PBEsol-relaxed geometry.

The total energy comes out at -23.16 eV per atom. For the magnetization, the calculation gives 0.0 μB per formula unit.

It has space group I-42d (No. 122), with a = 5.7711 Å, b = 5.7711 Å, c = 10.2860 Å, α = 90.00°, β = 90.00° and γ = 90.00°. Symmetry generates all atoms from Ga at (0.0000, 0.0000, 0.0000), Sb at (0.1730, 0.2500, 0.6250) and H at (0.0000, 0.0000, 0.5000).



(10)
## GaSbH2Se (meta-GGA SCAN)

Data for GaSbH2Se at its PBEsol-relaxed geometry.

The total energy comes out at -15.78 eV per atom. For the magnetization, the calculation gives 0.0 μB per formula unit.

It has space group P4/mmm (No. 123), with a = 3.8730 Å, b = 3.8730 Å, c = 5.5128 Å, α = 90.00°, β = 90.00° and γ = 90.00°. Symmetry generates all atoms from Ga at (0.0000, 0.0000, 0.0000), Sb at (0.5000, 0.5000, 0.5000), H at (0.0000, 0.5000, 0.0000) and Se at (0.0000, 0.0000, 0.5000).



(11)
## TlGa2SbH (meta-GGA SCAN)

Data for TlGa2SbH at its PBEsol-relaxed geometry.

The total energy comes out at -28.72 eV per atom. For the magnetization, the calculation gives 0.0 μB per formula unit.

It has space group P4/mmm (No. 123), with a = 5.3743 Å, b = 5.3743 Å, c = 3.6245 Å, α = 90.00°, β = 90.00° and γ = 90.00°. Symmetry generates all atoms from Tl at (0.0000, 0.0000, 0.0000), Ga at (0.0000, 0.5000, 0.0000), Sb at (0.5000, 0.5000, 0.5000) and H at (0.0000, 0.0000, 0.5000).



(12)
## ScZnGaH2 (meta-GGA SCAN)

Data for ScZnGaH2 at its PBEsol-relaxed geometry.

The total energy comes out at -9.69 eV per atom. For the magnetization, the calculation gives 0.0 μB per formula unit.

It has space group P4/mmm (No. 123), with a = 3.7369 Å, b = 3.7369 Å, c = 5.4990 Å, α = 90.00°, β = 90.00° and γ = 90.00°. Symmetry generates all atoms from Sc at (0.0000, 0.0000, 0.0000), Zn at (0.0000, 0.0000, 0.5000), Ga at (0.5000, 0.5000, 0.0000) and H at (0.0000, 0.5000, 0.5000).



(13)
## GaHSe3 (meta-GGA SCAN)

Data for GaHSe3 at its PBEsol-relaxed geometry.

The total energy comes out at -15.30 eV per atom. For the magnetization, the calculation gives 0.0 μB per formula unit.

It has space group Pm-3m (No. 221), with a = 4.3531 Å, b = 4.3531 Å, c = 4.3531 Å, α = 90.00°, β = 90.00° and γ = 90.00°. Symmetry generates all atoms from Ga at (0.0000, 0.0000, 0.0000), H at (0.5000, 0.5000, 0.5000) and Se at (0.0000, 0.5000, 0.5000).



(14)
## Ga2SiH (meta-GGA SCAN)

Data for Ga2SiH at its PBEsol-relaxed geometry.

The total energy comes out at -11.00 eV per atom. For the magnetization, the calculation gives 0.0 μB per formula unit.

It has space group Fm-3m (No. 225), with a = 6.0338 Å, b = 6.0338 Å, c = 6.0338 Å, α = 90.00°, β = 90.00° and γ = 90.00°. Symmetry generates all atoms from Ga at (0.2500, 0.2500, 0.2500), Si at (0.0000, 0.0000, 0.0000) and H at (0.0000, 0.0000, 0.5000).



(15)
## GaSiHW2 (meta-GGA SCAN)

Data for GaSiHW2 at its PBEsol-relaxed geometry.

The total energy comes out at -31.66 eV per atom. For the magnetization, the calculation gives 0.0 μB per formula unit.

It has space group P4/mmm (No. 123), with a = 4.5008 Å, b = 4.5008 Å, c = 4.4194 Å, α = 90.00°, β = 90.00° and γ = 90.00°. Symmetry generates all atoms from Ga at (0.0000, 0.0000, 0.0000), Si at (0.0000, 0.0000, 0.5000), H at (0.5000, 0.5000, 0.0000) and W at (0.0000, 0.5000, 0.5000).



(16)
## Ta2GaH (meta-GGA SCAN)

Data for Ta2GaH at its PBEsol-relaxed geometry.

The total energy comes out at -37.80 eV per atom. For the magnetization, the calculation gives 0.0 μB per formula unit.

It has space group Fm-3m (No. 225), with a = 6.0673 Å, b = 6.0673 Å, c = 6.0673 Å, α = 90.00°, β = 90.00° and γ = 90.00°. Symmetry generates all atoms from Ta at (0.2500, 0.2500, 0.2500), Ga at (0.0000, 0.0000, 0.0000) and H at (0.0000, 0.0000, 0.5000).



(17)
## TaGa3H (meta-GGA SCAN)

Data for TaGa3H at its PBEsol-relaxed geometry.

The total energy comes out at -22.70 eV per atom. For the magnetization, the calculation gives 1.5 μB per formula unit.

It has space group Pm-3m (No. 221), with a = 5.0463 Å, b = 5.0463 Å, c = 5.0463 Å, α = 90.00°, β = 90.00° and γ = 90.00°. Symmetry generates all atoms from Ta at (0.0000, 0.0000, 0.0000), Ga at (0.0000, 0.0000, 0.5000) and H at (0.5000, 0.5000, 0.5000).



(18)
## Ta2GaHW (meta-GGA SCAN)

Data for Ta2GaHW at its PBEsol-relaxed geometry.

The total energy comes out at -44.57 eV per atom. For the magnetization, the calculation gives 0.0 μB per formula unit.

It has space group P4/mmm (No. 123), with a = 4.1346 Å, b = 4.1346 Å, c = 3.9283 Å, α = 90.00°, β = 90.00° and γ = 90.00°. Symmetry generates all atoms from Ta at (0.0000, 0.5000, 0.0000), Ga at (0.0000, 0.0000, 0.5000), H at (0.5000, 0.5000, 0.0000) and W at (0.5000, 0.5000, 0.5000).



(19)
## GaTcH2 (meta-GGA SCAN)

Data for GaTcH2 at its PBEsol-relaxed geometry.

The total energy comes out at -14.29 eV per atom. For the magnetization, the calculation gives 0.7 μB per formula unit.

It has space group I-42d (No. 122), with a = 3.6464 Å, b = 3.6464 Å, c = 11.2163 Å, α = 90.00°, β = 90.00° and γ = 90.00°. Symmetry generates all atoms from Ga at (0.0000, 0.0000, 0.0000), Tc at (0.0000, 0.0000, 0.5000) and H at (0.1672, 0.2500, 0.6250).



(20)
## GaTcH3 (meta-GGA SCAN)

Data for GaTcH3 at its PBEsol-relaxed geometry.

The total energy comes out at -11.32 eV per atom. For the magnetization, the calculation gives 0.0 μB per formula unit.

It has space group Pm-3m (No. 221), with a = 3.3824 Å, b = 3.3824 Å, c = 3.3824 Å, α = 90.00°, β = 90.00° and γ = 90.00°. Symmetry generates all atoms from Ga at (0.0000, 0.0000, 0.0000), Tc at (0.5000, 0.5000, 0.5000) and H at (0.0000, 0.0000, 0.5000).